(1)
CaOsRu2 after structural relaxation, computed with PBE.

The structure in CIF format:
```
data_CaOsRu2
_cell_length_a 4.3810
_cell_length_b 2.8190
_cell_length_c 5.6225
_cell_angle_alpha 78.12
_cell_angle_beta 90.00
_cell_angle_gamma 90.00
_symmetry_space_group_name_H-M 'P 1'
_symmetry_Int_Tables_number 1
loop_
_symmetry_equiv_pos_as_xyz
'x,y,z'
loop_
_atom_site_label
_atom_site_type_symbol
_atom_site_fract_x
_atom_site_fract_y
_atom_site_fract_z
_atom_site_occupancy
Os1 Os 0.5000 0.7500 0.7500 1
Ca1 Ca 0.5000 0.2500 0.2500 1
Ru1 Ru 0.0000 0.5626 0.5447 1
Ru2 Ru 0.0000 0.9374 0.9553 1
```

Properties
Energy relative to the elements: 550 meV/atom

(2)
CaOsRu2 after structural relaxation, computed with PBE.

The structure in CIF format:
```
data_CaOsRu2
_cell_length_a 5.6962
_cell_length_b 5.6962
_cell_length_c 5.6962
_cell_angle_alpha 151.10
_cell_angle_beta 130.43
_cell_angle_gamma 58.40
_symmetry_space_group_name_H-M 'P 1'
_symmetry_Int_Tables_number 1
loop_
_symmetry_equiv_pos_as_xyz
'x,y,z'
loop_
_atom_site_label
_atom_site_type_symbol
_atom_site_fract_x
_atom_site_fract_y
_atom_site_fract_z
_atom_site_occupancy
Os1 Os 0.2500 0.7500 0.5000 1
Ca1 Ca 0.7500 0.2500 0.5000 1
Ru1 Ru 0.0325 0.0325 0.0000 1
Ru2 Ru 0.4675 0.4675 0.0000 1
```

Properties
Energy relative to the elements: 482 meV/atom

(3)
CaOsRu2 after structural relaxation, computed with PBE.

The structure in CIF format:
```
data_CaOsRu2
_cell_length_a 9.5028
_cell_length_b 9.5028
_cell_length_c 9.5028
_cell_angle_alpha 17.12
_cell_angle_beta 17.12
_cell_angle_gamma 17.12
_symmetry_space_group_name_H-M 'P 1'
_symmetry_Int_Tables_number 1
loop_
_symmetry_equiv_pos_as_xyz
'x,y,z'
loop_
_atom_site_label
_atom_site_type_symbol
_atom_site_fract_x
_atom_site_fract_y
_atom_site_fract_z
_atom_site_occupancy
Ru1 Ru 0.4919 0.4919 0.4919 1
Ru2 Ru 0.0081 0.0081 0.0081 1
Os1 Os 0.7500 0.7500 0.7500 1
Ca1 Ca 0.2500 0.2500 0.2500 1
```

Properties
Energy relative to the elements: 561 meV/atom